The following is a GGA-PBE calculation of a relaxed GaNi2HRu crystal, from Alexandria.

Computed properties:
The calculation puts the total magnetization at 0.01 μB per formula unit. As for the energy relative to the lowest polymorph listed for this composition: 177.4 meV per atom. The density of states at the Fermi level comes out at 5.7 states/eV/cell. As for the crystal system: tetragonal. As for the space group: P4/mmm (123).

Cell: 3.573 3.573 4.113 Å, 90.00 90.00 90.00°
Fractional positions:
Ga 0.000 0.000 0.000
Ni 0.000 0.500 0.500
Ni 0.500 0.000 0.500
H 0.000 0.000 0.500
Ru 0.500 0.500 0.000

---

The following is a GGA-PBE calculation of a relaxed Ga2NiHS crystal, from Alexandria.

Computed properties:
The calculation puts the total magnetization at 0.00 μB per formula unit. As for the electronic total energy: -3.684 eV per atom. The density of states at the Fermi level comes out at 2.9 states/eV/cell. As for the crystal system: tetragonal. As for the space group: P4/mmm (123).

Cell: 4.609 4.609 3.214 Å, 90.00 90.00 90.00°
Fractional positions:
Ga 0.000 0.500 0.000
Ga 0.500 0.000 0.000
Ni 0.000 0.000 0.500
H 0.000 0.000 0.000
S 0.500 0.500 0.500

---

The following is a GGA-PBE calculation of a relaxed Sc2GaNi6H crystal, from Alexandria.

Computed properties:
The calculation puts the total magnetization at 0.00 μB per formula unit. As for the electronic total energy: -5.756 eV per atom. The density of states at the Fermi level comes out at 5.9 states/eV/cell. As for the crystal system: monoclinic. As for the space group: C2/m (12).

Cell: 5.088 5.088 6.375 Å, 113.52 113.52 59.94°
Fractional positions:
Sc 0.220 0.220 0.161
Sc 0.780 0.780 0.839
Ga 0.500 0.500 0.000
Ni 0.227 0.227 0.672
Ni 0.227 0.723 0.675
Ni 0.277 0.773 0.325
Ni 0.723 0.227 0.675
Ni 0.773 0.277 0.325
Ni 0.773 0.773 0.328
H 0.000 0.000 0.500

---

The following is a GGA-PBE calculation of a relaxed Sc2GaNiH crystal, from Alexandria.

Computed properties:
The calculation puts the total magnetization at 0.00 μB per formula unit. As for the electronic total energy: -5.513 eV per atom. The density of states at the Fermi level comes out at 3.0 states/eV/cell. As for the crystal system: tetragonal. As for the space group: P4/mmm (123).

Cell: 4.559 4.559 3.444 Å, 90.00 90.00 90.00°
Fractional positions:
Sc 0.000 0.500 0.000
Sc 0.500 0.000 0.000
Ga 0.000 0.000 0.500
Ni 0.500 0.500 0.500
H 0.500 0.500 0.000

---

The following is a GGA-PBE calculation of a relaxed ScGaNi2H crystal, from Alexandria.

Computed properties:
The calculation puts the total magnetization at 0.11 μB per formula unit. As for the energy relative to the lowest polymorph listed for this composition: 179.9 meV per atom. The density of states at the Fermi level comes out at 4.6 states/eV/cell. As for the crystal system: tetragonal. As for the space group: P4/mmm (123).

Cell: 3.871 3.871 3.958 Å, 90.00 90.00 90.00°
Fractional positions:
Sc 0.000 0.000 0.000
Ga 0.500 0.500 0.000
Ni 0.000 0.500 0.500
Ni 0.500 0.000 0.500
H 0.000 0.000 0.500

---

The following is a GGA-PBE calculation of a relaxed ScGaNi2H crystal, from Alexandria.

Computed properties:
The calculation puts the total magnetization at 0.00 μB per formula unit. As for the energy relative to the lowest polymorph listed for this composition: 0.0 meV per atom. The density of states at the Fermi level comes out at 3.8 states/eV/cell. As for the crystal system: orthorhombic. As for the space group: Cmcm (63).

Cell: 5.573 5.573 7.025 Å, 90.00 90.00 145.99°
Fractional positions:
Sc 0.027 0.973 0.750
Sc 0.973 0.027 0.250
Ga 0.249 0.751 0.250
Ga 0.751 0.249 0.750
Ni 0.353 0.647 0.554
Ni 0.353 0.647 0.946
Ni 0.647 0.353 0.054
Ni 0.647 0.353 0.446
H 0.500 0.500 0.000
H 0.500 0.500 0.500

---

The following is a GGA-PBE calculation of a relaxed Ga2SiNiH crystal, from Alexandria.

Computed properties:
The calculation puts the total magnetization at 0.00 μB per formula unit. As for the electronic total energy: -3.774 eV per atom. The density of states at the Fermi level comes out at 3.0 states/eV/cell. As for the crystal system: tetragonal. As for the space group: P4/mmm (123).

Cell: 4.087 4.087 3.802 Å, 90.00 90.00 90.00°
Fractional positions:
Ga 0.000 0.500 0.000
Ga 0.500 0.000 0.000
Si 0.000 0.000 0.500
Ni 0.500 0.500 0.500
H 0.000 0.000 0.000

---

The following is a GGA-PBE calculation of a relaxed SrGaNi2H8 crystal, from Alexandria.

Computed properties:
The calculation puts the total magnetization at 0.00 μB per formula unit. As for the electronic total energy: -3.567 eV per atom. The density of states at the Fermi level comes out at 5.3 states/eV/cell. As for the crystal system: trigonal. As for the space group: P-3 (147).

Cell: 4.463 4.463 6.511 Å, 90.00 90.00 120.00°
Fractional positions:
Sr 0.000 0.000 0.000
Ga 0.000 0.000 0.500
Ni 0.333 0.667 0.664
Ni 0.667 0.333 0.336
H 0.019 0.687 0.326
H 0.313 0.332 0.326
H 0.332 0.019 0.674
H 0.333 0.667 0.899
H 0.667 0.333 0.101
H 0.668 0.981 0.326
H 0.687 0.668 0.674
H 0.981 0.313 0.674